This record from the Alexandria database describes an optimized crystal structure of La2SIN. The functional is PBE-GGA.

Unit cell a=4.2103 b=8.1605 c=9.1249 alpha=78.71 beta=76.66 gamma=75.05
Closest atoms and distances in Å follow each position.
Atoms (fractional coordinates):
La  0.5794  0.1441  0.6971  2 N 2.43
La  0.4206  0.8559  0.3029  2 N 2.43
La  0.8648  0.2280  0.0424  2 N 2.44-2.46
La  0.1352  0.7720  0.9576  2 N 2.44-2.46
N  0.9454  0.9343  0.1748  4 La 2.43-2.46
N  0.0546  0.0657  0.8252  4 La 2.43-2.46
S  0.6377  0.6002  0.1243  3 La 2.74-2.81
S  0.3623  0.3998  0.8757  3 La 2.74-2.81
I  0.8215  0.7435  0.6135  5 La 3.35-3.74
I  0.1785  0.2565  0.3865  5 La 3.35-3.74

Values from the calculation:
- E_tot (eV per atom) = -6.484
- space-group type = No. 12
- size of the total moment (Bohr magnetons per cell) = 0.0
- uncorrected formation energy (eV per atom) = -1.71

This record from the Alexandria database describes an optimized crystal structure of La6In5Pb. The functional is PBE-GGA.

Unit cell a=9.6934 b=5.6046 c=8.8780 alpha=71.60 beta=79.48 gamma=54.66
Closest atoms and distances in Å follow each position.
Atoms (fractional coordinates):
In  0.0000  0.6702  0.6595  8 La 3.40-3.48
In  0.5000  0.5000  0.0000  8 La 3.42-3.43
In  0.0000  0.3298  0.3405  8 La 3.40-3.48
In  0.5000  0.8337  0.3326  8 La 3.42-3.43
In  0.5000  0.1663  0.6674  8 La 3.42-3.43
La  0.7475  0.4191  0.6671  7 In 3.40-3.44, 1 Pb 3.44
La  0.7501  0.7499  0.0000  2 Pb 3.43, 6 In 3.43-3.48
La  0.2525  0.5809  0.3329  7 In 3.40-3.44, 1 Pb 3.44
La  0.2525  0.9138  0.6671  7 In 3.40-3.44, 1 Pb 3.44
La  0.2499  0.2501  0.0000  2 Pb 3.43, 6 In 3.43-3.48
La  0.7475  0.0862  0.3329  7 In 3.40-3.44, 1 Pb 3.44
Pb  0.0000  0.0000  0.0000  8 La 3.43-3.44

Values from the calculation:
- E_tot (eV per atom) = -4.435
- space-group type = No. 65
- size of the total moment (Bohr magnetons per cell) = 0.0
- DFT formation energy (eV/atom) = -0.52

This record from the Alexandria database describes an optimized crystal structure of NdTh2Sc4. The functional is PBE-GGA.

Unit cell a=5.3854 b=3.6327 c=10.7613 alpha=99.72 beta=90.00 gamma=90.00
Closest atoms and distances in Å follow each position.
Atoms (fractional coordinates):
Nd  0.0000  0.5000  0.0000  8 Th 3.61, 2 Nd 3.63
Sc  0.5000  0.6976  0.3952  2 Sc 2.87, 2 Th 3.19
Sc  0.0000  0.1828  0.3655  8 Sc 3.26-3.63, 2 Th 3.55
Sc  0.5000  0.3024  0.6048  2 Sc 2.87, 2 Th 3.19
Sc  0.0000  0.8172  0.6345  8 Sc 3.26-3.63, 2 Th 3.55
Th  0.5000  0.9262  0.8524  1 Th 3.13, 2 Sc 3.19
Th  0.5000  0.0738  0.1476  1 Th 3.13, 2 Sc 3.19

Values from the calculation:
- E_tot (eV per atom) = -6.167
- space-group type = No. 65
- size of the total moment (Bohr magnetons per cell) = 0.0
- DFT formation energy (eV/atom) = 0.25

This record from the Alexandria database describes an optimized crystal structure of Zr2TiIn2. The functional is PBE-GGA.

Unit cell a=8.5838 b=8.5838 c=3.1327 alpha=90.00 beta=90.00 gamma=90.00
Closest atoms and distances in Å follow each position.
Atoms (fractional coordinates):
Zr  0.6240  0.1240  0.0000  6 In 2.90-3.04, 3 Zr 3.01-3.13
Zr  0.1240  0.3760  0.0000  6 In 2.90-3.04, 3 Zr 3.01-3.13
Zr  0.3760  0.8760  0.0000  6 In 2.90-3.04, 3 Zr 3.01-3.13
Zr  0.8760  0.6240  0.0000  6 In 2.90-3.04, 3 Zr 3.01-3.13
In  0.6746  0.8254  0.5000  6 Zr 2.90-3.04, 2 In 3.13
In  0.8254  0.3254  0.5000  6 Zr 2.90-3.04, 2 In 3.13
In  0.3254  0.1746  0.5000  6 Zr 2.90-3.04, 2 In 3.13
In  0.1746  0.6746  0.5000  6 Zr 2.90-3.04, 2 In 3.13
Ti  0.0000  0.0000  0.0000  2 Ti 3.13, 4 Zr 3.40
Ti  0.5000  0.5000  0.0000  2 Ti 3.13, 4 Zr 3.40

Values from the calculation:
- relative energy among the computed polymorphs (eV/atom) = 0.3304
- E_tot (eV per atom) = -5.928
- space-group type = No. 127
- size of the total moment (Bohr magnetons per cell) = 1.8
- DFT formation energy (eV/atom) = 0.17

This record from the Alexandria database describes an optimized crystal structure of PuNi4Au. The functional is PBE-GGA.

Unit cell a=4.9543 b=4.9543 c=4.9543 alpha=60.00 beta=60.00 gamma=60.00
Closest atoms and distances in Å follow each position.
Atoms (fractional coordinates):
Ni  0.6255  0.6255  0.6255  6 Ni 2.47-2.49
Ni  0.6255  0.1234  0.6255  6 Ni 2.47-2.49
Ni  0.1234  0.6255  0.6255  6 Ni 2.47-2.49
Ni  0.6255  0.6255  0.1234  6 Ni 2.47-2.49
Au  0.0000  0.0000  0.0000  12 Ni 2.90, 4 Pu 3.03
Pu  0.2500  0.2500  0.2500  12 Ni 2.91, 4 Au 3.03

Values from the calculation:
- E_tot (eV per atom) = -7.013
- space-group type = No. 216
- size of the total moment (Bohr magnetons per cell) = 3.3
- DFT formation energy (eV/atom) = -0.22

This record from the Alexandria database describes an optimized crystal structure of Ta2MnTe. The functional is PBE-GGA.

Unit cell a=6.9239 b=6.9239 c=6.9239 alpha=31.13 beta=31.13 gamma=31.13
Closest atoms and distances in Å follow each position.
Atoms (fractional coordinates):
Te  0.2500  0.2500  0.2500  6 Ta 3.02
Ta  0.4758  0.4758  0.4758  3 Mn 2.44
Ta  0.0242  0.0242  0.0242  3 Mn 2.44
Mn  0.7500  0.7500  0.7500  6 Ta 2.44

Values from the calculation:
- E_tot (eV per atom) = -8.706
- space-group type = No. 166
- size of the total moment (Bohr magnetons per cell) = 0.0
- uncorrected formation energy (eV per atom) = 0.30

This record from the Alexandria database describes an optimized crystal structure of ScZn2Ru. The functional is PBE-GGA.

Unit cell a=6.1151 b=4.5887 c=3.1791 alpha=89.93 beta=58.79 gamma=119.09
Closest atoms and distances in Å follow each position.
Atoms (fractional coordinates):
Zn  0.0000  0.0000  0.0000  2 Zn 2.62, 4 Ru 2.79, 4 Sc 2.79
Zn  0.5000  0.0000  0.5000  2 Zn 2.62, 4 Sc 2.79, 4 Ru 2.79
Sc  0.5000  0.5000  0.0000  2 Ru 2.62, 8 Zn 2.79
Ru  0.0000  0.5000  0.5000  2 Sc 2.62, 8 Zn 2.79

Values from the calculation:
- E_tot (eV per atom) = -4.742
- space-group type = No. 65
- size of the total moment (Bohr magnetons per cell) = 0.0
- DFT formation energy (eV/atom) = -0.20

This record from the Alexandria database describes an optimized crystal structure of LaAlZnCu2. The functional is PBE-GGA.

Unit cell a=4.0976 b=4.0976 c=6.2818 alpha=109.04 beta=109.04 gamma=90.00
Closest atoms and distances in Å follow each position.
Atoms (fractional coordinates):
Cu  0.6138  0.6138  0.2275  1 Cu 2.54, 2 Zn 2.55, 2 Al 2.55
Cu  0.3862  0.3862  0.7725  1 Cu 2.54, 2 Al 2.55, 2 Zn 2.55
La  0.0000  0.0000  0.0000  8 Cu 3.16, 4 Al 3.46, 4 Zn 3.46
Al  0.7500  0.2500  0.5000  4 Cu 2.55
Zn  0.2500  0.7500  0.5000  4 Cu 2.55

Values from the calculation:
- E_tot (eV per atom) = -3.935
- space-group type = No. 119
- size of the total moment (Bohr magnetons per cell) = 0.0
- DFT formation energy (eV/atom) = -0.31

This record from the Alexandria database describes an optimized crystal structure of PmPrAu. The functional is PBE-GGA.

Unit cell a=8.6720 b=8.6720 c=7.9312 alpha=90.00 beta=90.00 gamma=120.00
Closest atoms and distances in Å follow each position.
Atoms (fractional coordinates):
Pm  0.7360  0.7360  0.5000  4 Au 3.03-3.23
Pm  0.0000  0.2640  0.0000  4 Au 3.03-3.23
Pm  0.2640  0.0000  0.0000  4 Au 3.03-3.23
Pm  0.0000  0.2640  0.5000  4 Au 3.03-3.23
Pm  0.7360  0.7360  0.0000  4 Au 3.03-3.23
Pm  0.2640  0.0000  0.5000  4 Au 3.03-3.23
Au  0.0000  0.0000  0.2500  6 Pm 3.03
Au  0.6667  0.3333  0.5000  3 Pm 3.23, 6 Pr 3.30
Au  0.6667  0.3333  0.0000  3 Pm 3.23, 6 Pr 3.30
Au  0.3333  0.6667  0.5000  3 Pm 3.23, 6 Pr 3.30
Au  0.0000  0.0000  0.7500  6 Pm 3.03
Au  0.3333  0.6667  0.0000  3 Pm 3.23, 6 Pr 3.30
Pr  0.4037  0.4037  0.2500  5 Au 3.30-3.50, 6 Pm 3.50-3.66
Pr  0.0000  0.5963  0.7500  5 Au 3.30-3.50, 6 Pm 3.50-3.66
Pr  0.0000  0.5963  0.2500  5 Au 3.30-3.50, 6 Pm 3.50-3.66
Pr  0.5963  0.0000  0.7500  5 Au 3.30-3.50, 6 Pm 3.50-3.66
Pr  0.5963  0.0000  0.2500  5 Au 3.30-3.50, 6 Pm 3.50-3.66
Pr  0.4037  0.4037  0.7500  5 Au 3.30-3.50, 6 Pm 3.50-3.66

Values from the calculation:
- relative energy among the computed polymorphs (eV/atom) = 0.0814
- E_tot (eV per atom) = -4.745
- space-group type = No. 189
- size of the total moment (Bohr magnetons per cell) = 0.0
- DFT formation energy (eV/atom) = -0.48

This record from the Alexandria database describes an optimized crystal structure of TbCeNd5. The functional is PBE-GGA.

Unit cell a=5.7888 b=7.9255 c=7.9255 alpha=66.53 beta=68.58 gamma=68.58
Closest atoms and distances in Å follow each position.
Atoms (fractional coordinates):
Tb  0.5000  0.5000  0.5000  6 Nd 3.06-3.31
Nd  0.0000  0.6836  0.3164  1 Ce 2.75
Nd  0.5000  0.0000  0.0000  2 Ce 2.89
Nd  0.7564  0.2437  0.2437  1 Ce 2.91, 1 Tb 3.06
Nd  0.0000  0.3164  0.6836  1 Ce 2.75
Nd  0.2436  0.7563  0.7563  1 Ce 2.91, 1 Tb 3.06
Ce  0.0000  0.0000  0.0000  6 Nd 2.75-2.91

Values from the calculation:
- E_tot (eV per atom) = -4.039
- space-group type = No. 71
- size of the total moment (Bohr magnetons per cell) = 0.0
- DFT formation energy (eV/atom) = 0.88

This record from the Alexandria database describes an optimized crystal structure of U2TlPt2S6. The functional is PBE-GGA.

Unit cell a=9.8463 b=7.0538 c=6.8118 alpha=117.39 beta=107.13 gamma=45.25
Closest atoms and distances in Å follow each position.
Atoms (fractional coordinates):
S  0.7732  0.7714  0.0836  2 U 2.59-2.61
S  0.2268  0.2286  0.9164  2 U 2.59-2.61
S  0.1276  0.6904  0.5367  1 Pt 2.31, 1 U 2.58
S  0.3611  0.6713  0.2250  1 Pt 2.29
S  0.6389  0.3287  0.7750  1 Pt 2.29
S  0.8724  0.3096  0.4633  1 Pt 2.31, 1 U 2.58
Pt  0.2528  0.6920  0.8813  2 S 2.29-2.31
Pt  0.7472  0.3080  0.1187  2 S 2.29-2.31
Tl  0.5000  0.0000  0.5000  6 S 3.12-3.47, 2 Pt 3.44
U  0.9498  0.2352  0.8307  5 S 2.58-2.71, 2 Pt 2.83-2.87
U  0.0502  0.7648  0.1693  5 S 2.58-2.71, 2 Pt 2.83-2.87

Values from the calculation:
- E_tot (eV per atom) = -6.395
- space-group type = No. 2
- size of the total moment (Bohr magnetons per cell) = 1.0
- uncorrected formation energy (eV per atom) = -0.78

This record from the Alexandria database describes an optimized crystal structure of RbTaSbI2. The functional is PBE-GGA.

Unit cell a=6.8003 b=6.8003 c=6.6983 alpha=90.00 beta=90.00 gamma=90.00
Closest atoms and distances in Å follow each position.
Atoms (fractional coordinates):
Ta  0.5000  0.5000  0.5000  8 I 4.77, 4 Sb 4.81
I  0.0000  0.5000  0.0000  2 Rb 3.40
I  0.5000  0.0000  0.0000  2 Rb 3.40
Sb  0.0000  0.0000  0.5000  2 Rb 3.35
Rb  0.0000  0.0000  0.0000  2 Sb 3.35, 4 I 3.40

Values from the calculation:
- relative energy among the computed polymorphs (eV/atom) = 1.7581
- E_tot (eV per atom) = -2.407
- space-group type = No. 123
- size of the total moment (Bohr magnetons per cell) = 7.0
- uncorrected formation energy (eV per atom) = 1.60